[1]
# Y2Tm5Ni2Te2 | the Open Quantum Materials Database | PBE | optimized geometry
data_Y2Tm5Ni2Te2
_chemical_formula_sum 'Y4 Tm10 Ni4 Te4'
_cell_length_a 3.8235
_cell_length_b 15.4598
_cell_length_c 9.5401
_cell_angle_alpha 90.00
_cell_angle_beta 90.00
_cell_angle_gamma 90.00
_symmetry_space_group_name_H-M 'I m m 2'
_symmetry_Int_Tables_number 44
loop_
_symmetry_equiv_pos_as_xyz
'x,y,z'
'-x,-y,z'
'-x,y,z'
'x,-y,z'
'x+1/2,y+1/2,z+1/2'
'-x+1/2,-y+1/2,z+1/2'
'-x+1/2,y+1/2,z+1/2'
'x+1/2,-y+1/2,z+1/2'
loop_
_atom_site_label
_atom_site_type_symbol
_atom_site_fract_x
_atom_site_fract_y
_atom_site_fract_z
Y1 Y 0.0000 0.1847 0.0000
Tm1 Tm 0.0000 0.1469 0.6496
Tm2 Tm 0.0000 0.3668 0.7969
Tm3 Tm 0.0000 0.5000 0.3771
Ni1 Ni 0.0000 0.2611 0.3037
Te1 Te 0.0000 0.0000 0.1444
Te2 Te 0.0000 0.5000 0.0417
# Crystal system ... orthorhombic
# Spin magnetization ... 0.02 Bohr magnetons per cell
# Excess energy over the best structure of this formula in the dataset ... 14 meV per atom

[2]
# RbAg2AsS3O | the Open Quantum Materials Database | PBE | optimized geometry
data_RbAg2AsS3O
_chemical_formula_sum 'Rb2 Ag4 As2 S6 O2'
_cell_length_a 8.5823
_cell_length_b 9.4510
_cell_length_c 6.0843
_cell_angle_alpha 90.00
_cell_angle_beta 131.21
_cell_angle_gamma 90.00
_symmetry_space_group_name_H-M 'C 1 m 1'
_symmetry_Int_Tables_number 8
loop_
_symmetry_equiv_pos_as_xyz
'x,y,z'
'x,-y,z'
'x+1/2,y+1/2,z'
'x+1/2,-y+1/2,z'
loop_
_atom_site_label
_atom_site_type_symbol
_atom_site_fract_x
_atom_site_fract_y
_atom_site_fract_z
Rb1 Rb 0.0000 0.0000 0.0000
Ag1 Ag 0.4587 0.2475 0.4388
As1 As 0.4411 0.0000 0.8978
S1 S 0.2700 0.5000 0.2954
S2 S 0.3021 0.1914 0.9230
O1 O 0.3983 0.0000 0.5800
# Crystal system ... monoclinic

[3]
# TaNiSbAu | the Open Quantum Materials Database | PBE | optimized geometry
data_TaNiSbAu
_chemical_formula_sum 'Ta4 Ni4 Sb4 Au4'
_cell_length_a 6.5330
_cell_length_b 6.5330
_cell_length_c 6.5330
_cell_angle_alpha 90.00
_cell_angle_beta 90.00
_cell_angle_gamma 90.00
_symmetry_space_group_name_H-M 'F -4 3 m'
_symmetry_Int_Tables_number 216
_symmetry_space_group_name_Hall 'F -4 2 3'
loop_
_atom_site_label
_atom_site_type_symbol
_atom_site_fract_x
_atom_site_fract_y
_atom_site_fract_z
Ta1 Ta 0.0000 0.0000 0.0000
Ni1 Ni 0.0000 0.0000 0.5000
Sb1 Sb 0.2500 0.2500 0.2500
Au1 Au 0.2500 0.2500 0.7500
# Crystal system ... cubic
# Spin magnetization ... 0.01 Bohr magnetons per cell

[4]
# NbTc2Ge2 | the Open Quantum Materials Database | PBE | optimized geometry
data_NbTc2Ge2
_chemical_formula_sum 'Nb2 Tc4 Ge4'
_cell_length_a 4.3618
_cell_length_b 4.3618
_cell_length_c 9.0547
_cell_angle_alpha 90.00
_cell_angle_beta 90.00
_cell_angle_gamma 90.00
_symmetry_space_group_name_H-M 'I 4/m m m'
_symmetry_Int_Tables_number 139
_symmetry_space_group_name_Hall '-I 4 2'
loop_
_atom_site_label
_atom_site_type_symbol
_atom_site_fract_x
_atom_site_fract_y
_atom_site_fract_z
Nb1 Nb 0.0000 0.0000 0.0000
Tc1 Tc 0.0000 0.0000 0.3763
Ge1 Ge 0.0000 0.5000 0.2500
# Crystal system ... tetragonal
# Spin magnetization ... 0.01 Bohr magnetons per cell
# Excess energy over the best structure of this formula in the dataset ... 139 meV per atom

Calculated total energy in order - -5.460 -4.090 -6.030 -7.688 eV per atom